1.
Compound: Pm6PrMg
Source: the Alexandria database
Functional: PBE
Structure: optimized geometry

Cell: 5.0937 5.0937 10.2366 Å, 90.00 90.00 90.00°
Fractional coordinates of all 8 atoms:
Pm (0.5000, 0.5000, 0.0000)
Pm (0.5000, 0.5000, 0.5000)
Pm (0.5000, 0.0000, 0.2550)
Pm (0.5000, 0.0000, 0.7450)
Pm (0.0000, 0.5000, 0.2550)
Pm (0.0000, 0.5000, 0.7450)
Pr (0.0000, 0.0000, 0.0000)
Mg (0.0000, 0.0000, 0.5000)

Properties
size of the total moment: 0.000 μB per atom
energy of formation from the pure elements: 0.01 eV per atom
E: -4.35 eV/atom
E above lowest polymorph: 2 meV per atom
crystal system: tetragonal



2.
Compound: PmPr2Mg3
Source: the Alexandria database
Functional: PBE
Structure: optimized geometry

Cell: 3.8961 3.8961 11.7079 Å, 90.00 90.00 90.00°
Fractional coordinates of all 6 atoms:
Pm (0.5000, 0.5000, 0.5000)
Pr (0.5000, 0.5000, 0.8312)
Pr (0.5000, 0.5000, 0.1688)
Mg (0.0000, 0.0000, 0.0000)
Mg (0.0000, 0.0000, 0.6628)
Mg (0.0000, 0.0000, 0.3372)

Properties
size of the total moment: 0.000 μB per atom
energy of formation from the pure elements: -0.11 eV per atom
E: -3.29 eV/atom
crystal system: tetragonal



3.
Compound: PmPr2Mg4
Source: the Alexandria database
Functional: PBE
Structure: optimized geometry

Cell: 5.4955 5.4955 8.3928 Å, 109.11 109.11 90.00°
Fractional coordinates of all 7 atoms:
Pm (0.0000, 0.0000, 0.0000)
Pr (0.7453, 0.7453, 0.4905)
Pr (0.2547, 0.2547, 0.5095)
Mg (0.3853, 0.8853, 0.7707)
Mg (0.8853, 0.3853, 0.7707)
Mg (0.6147, 0.1147, 0.2293)
Mg (0.1147, 0.6147, 0.2293)

Properties
size of the total moment: 0.000 μB per atom
energy of formation from the pure elements: 0.11 eV per atom
E: -2.85 eV/atom
E above lowest polymorph: 0 meV per atom
crystal system: tetragonal



Q: Look up the E of the first one.
A: -4.35 eV/atom